Density functional theory data (GGA-PBEsol) for crystalline MgAg8 at its relaxed geometry.

Computed properties:
Formation energy from the elements   -0.08 eV per atom
Total DFT energy (no corrections)   -3.21 eV per atom
Density of states at the Fermi level   2.716 states/eV/cell

POSCAR file:
```
MgAg8
1.0
4.0382 0.0000 0.0000
2.0191 6.1111 0.0000
2.0191 0.0000 6.1111
Ag Mg
8 1
direct
0.3335 0.0000 0.3330
0.0000 0.3336 0.6664
0.6665 0.6670 0.0000
0.6665 0.0000 0.6670
0.3336 0.6664 0.6664
0.0000 0.6664 0.3336
0.6664 0.3336 0.3336
0.3335 0.3330 0.0000
0.0000 0.0000 0.0000
```

Density functional theory data (GGA-PBEsol) for crystalline Ba2CdTe at its relaxed geometry.

Computed properties:
Raw formation energy   -0.768 eV/atom
Total DFT energy (no corrections)   -3.02 eV per atom
E above lowest polymorph   148 meV per atom
Density of states at the Fermi level   1.831 states/eV/cell

POSCAR file:
```
Ba2CdTe
1.0
-3.1395 -1.2801 3.5322
-3.4666 -0.7875 -3.3666
5.1087 -4.7756 -0.5833
Ba Te Cd
2 1 1
direct
0.7500 0.2500 0.5000
0.0000 0.0000 0.0000
0.2500 0.7500 0.5000
0.5000 0.5000 0.0000
```